(1)
Here is an optimized crystal structure of Rb2PdWN4 from OQMD via LeMat-Bulk. Energies are from GGA-PBE.

Properties
- Total DFT energy (no corrections): -52.4 eV per cell
- Mass density: 5.9 g/cm3

a = 5.769 Å, b = 5.769 Å, c = 5.769 Å
α = 114.20°, β = 114.20°, γ = 100.37°
Element x y z (fractional)
1 N 0.128 0.445 0.878
2 N 0.567 0.251 0.122
3 Pd 0.750 0.250 0.500
4 N 0.749 0.872 0.317
5 W 0.500 0.500 0.000
6 Rb 0.250 0.750 0.500
7 Rb 0.000 0.000 0.000
8 N 0.555 0.433 0.683

***

(2)
Here is an optimized crystal structure of ThTlAgS3 from OQMD via LeMat-Bulk. Energies are from GGA-PBE.

Properties
- Total DFT energy (no corrections): -63.7 eV per cell
- Mass density: 6.7 g/cm3

a = 7.327 Å, b = 7.327 Å, c = 10.793 Å
α = 90.00°, β = 90.00°, γ = 146.60°
Element x y z (fractional)
1 Th 0.500 0.500 0.000
2 S 0.872 0.128 0.041
3 Ag 0.949 0.051 0.250
4 Ag 0.051 0.949 0.750
5 S 0.128 0.872 0.541
6 S 0.128 0.872 0.959
7 Tl 0.235 0.765 0.250
8 Th 0.500 0.500 0.500
9 S 0.872 0.128 0.459
10 Tl 0.765 0.235 0.750
11 S 0.562 0.438 0.250
12 S 0.438 0.562 0.750

***

(3)
Here is an optimized crystal structure of BePd2Au from OQMD via LeMat-Bulk. Energies are from GGA-PBE.

Properties
- Mass density: 12.0 g/cm3
- Energy above the lowest structure with this stoichiometry: 29.32 kJ per mole of atoms

a = 4.346 Å, b = 4.346 Å, c = 4.346 Å
α = 60.00°, β = 60.00°, γ = 60.00°
Element x y z (fractional)
1 Pd 0.750 0.750 0.750
2 Pd 0.000 0.000 0.000
3 Be 0.500 0.500 0.500
4 Au 0.250 0.250 0.250

***

(4)
Here is an optimized crystal structure of KZrAsO from OQMD via LeMat-Bulk. Energies are from GGA-PBE.

Properties
- Mass density: 3.6 g/cm3
- Energy above the lowest structure with this stoichiometry: 23.01 kJ per mole of atoms

a = 7.545 Å, b = 7.545 Å, c = 3.610 Å
α = 90.02°, β = 90.02°, γ = 78.43°
Element x y z (fractional)
1 O 0.713 0.212 0.250
2 As 0.633 0.633 0.750
3 K 0.858 0.858 0.251
4 Zr 0.297 0.797 0.750
5 K 0.359 0.359 0.250
6 As 0.133 0.133 0.750
7 O 0.212 0.713 0.250
8 Zr 0.797 0.297 0.750